Record 1
# Cs2AgWS4

An optimized crystal structure of Cs2AgWS4 (PBE, the Alexandria database).

Its density of states at the Fermi level is 4.880 states/eV/f.u. The formation energy from raw total energies is -0.7609 eV/atom. Its volume is 2131.4 Å³/cell. Its crystal system is orthorhombic. The electronic total energy is -5.0136 eV per atom.

The structure belongs to space group Fddd (No. 70, origin choice 2); the cell edges are 5.915, 14.528 and 24.802 Å and the angles 90.00°, 90.00° and 90.00°. The asymmetric unit holds Cs at (0.125, 0.125, 0.302), Ag at (0.125, 0.125, 0.125), W at (0.125, 0.125, 0.625) and S at (0.086, 0.281, 0.821).

Record 2
# CsAgWS4

An optimized crystal structure of CsAgWS4 (PBE, the Alexandria database).

Its density of states at the Fermi level is 0.000 states/eV/f.u. The formation energy from raw total energies is -0.6752 eV/atom. Its volume is 447.0 Å³/cell. Its crystal system is monoclinic. The electronic total energy is -5.4135 eV per atom.

The structure belongs to space group P2_1/m (No. 11); the cell edges are 5.917, 7.732 and 10.210 Å and the angles 90.00°, 106.87° and 90.00°. The asymmetric unit holds Cs at (0.148, 0.250, 0.355), Ag at (0.148, 0.250, 0.793), W at (0.358, 0.750, 0.217), S at (0.062, 0.750, 0.025), S at (0.238, 0.750, 0.407) and S at (0.436, 0.009, 0.782).

Record 3
# CsAg2WS4

An optimized crystal structure of CsAg2WS4 (PBE, the Alexandria database).

Its density of states at the Fermi level is 2.432 states/eV/f.u. The formation energy from raw total energies is -0.4538 eV/atom. Its volume is 430.6 Å³/cell. Its crystal system is tetragonal. The electronic total energy is -4.9562 eV per atom.

The structure belongs to space group I-42m (No. 121); the cell edges are 6.866, 6.866 and 9.134 Å and the angles 90.00°, 90.00° and 90.00°. The asymmetric unit holds Cs at (0.000, 0.000, 0.000), Ag at (0.000, 0.500, 0.250), W at (0.000, 0.000, 0.500) and S at (0.184, 0.184, 0.648).

Record 4
# CsYAgS2

An optimized crystal structure of CsYAgS2 (PBE, the Alexandria database).

Its density of states at the Fermi level is 1.244 states/eV/f.u. The formation energy from raw total energies is -1.1207 eV/atom. Its volume is 317.2 Å³/cell. Its crystal system is monoclinic. The electronic total energy is -4.8054 eV per atom.

The structure belongs to space group P2/c (No. 13); the cell edges are 7.995, 5.158 and 7.783 Å and the angles 90.00°, 98.75° and 90.00°. The asymmetric unit holds Cs at (0.000, 0.138, 0.250), Y at (0.500, 0.495, 0.750), Ag at (0.500, 0.000, 0.000) and S at (0.280, 0.374, 0.967).

Record 5
# Cs2Zr3AgS8

An optimized crystal structure of Cs2Zr3AgS8 (PBE, the Alexandria database).

Its density of states at the Fermi level is 5.324 states/eV/f.u. The formation energy from raw total energies is -1.2648 eV/atom. Its volume is 1278.9 Å³/cell. Its crystal system is trigonal. The electronic total energy is -5.7807 eV per atom.

The structure belongs to space group R3m (No. 160, hexagonal axes); the cell edges are 7.5413, 7.5413 and 25.9667 Å and the angles 90.00°, 90.00° and 120.00°. The asymmetric unit holds Cs at (0.0000, 0.0000, 0.0000), Cs at (0.0000, 0.0000, 0.3487), Zr at (0.1686, 0.3372, 0.1819), Ag at (0.0000, 0.0000, 0.8460), S at (0.0000, 0.0000, 0.1276), S at (0.0000, 0.0000, 0.5723), S at (0.0150, 0.5075, 0.1256) and S at (0.1737, 0.3474, 0.9040).

Record 6
# CsZrAgS3

An optimized crystal structure of CsZrAgS3 (PBE, the Alexandria database).

The formation energy from raw total energies is -0.8313 eV/atom. Its volume is 788.9 Å³/cell. Its crystal system is monoclinic. The electronic total energy is -4.9372 eV per atom.

The structure belongs to space group C2/m (No. 12); the cell edges are 11.179, 8.863 and 8.408 Å and the angles 90.00°, 108.76° and 90.00°. The asymmetric unit holds Cs at (0.201, 0.000, 0.049), Zr at (0.109, 0.500, 0.372), Ag at (0.000, 0.227, 0.500), S at (0.000, 0.287, 0.216) and S at (0.176, 0.000, 0.604).

Record 7
# Cs2ZrAg2S4

An optimized crystal structure of Cs2ZrAg2S4 (PBE, the Alexandria database).

Its density of states at the Fermi level is 0.037 states/eV/f.u. The formation energy from raw total energies is -0.9634 eV/atom. Its volume is 473.7 Å³/cell. Its crystal system is monoclinic. The electronic total energy is -4.5709 eV per atom.

The structure belongs to space group C2/m (No. 12); the cell edges are 15.120, 4.036 and 8.203 Å and the angles 90.00°, 108.84° and 90.00°. The asymmetric unit holds Cs at (0.137, 0.000, 0.069), Zr at (0.000, 0.000, 0.500), Ag at (0.179, 0.500, 0.480), S at (0.009, 0.500, 0.290) and S at (0.180, 0.000, 0.675).

Record 8
# CsAg12Sb6

An optimized crystal structure of CsAg12Sb6 (PBE, the Alexandria database).

Its density of states at the Fermi level is 5.415 states/eV/f.u. The formation energy from raw total energies is 0.0508 eV/atom. Its volume is 1494.6 Å³/cell. Its crystal system is trigonal. The electronic total energy is -3.0967 eV per atom.

The structure belongs to space group R-3m (No. 166, hexagonal axes); the cell edges are 13.4756, 13.4756 and 9.5037 Å and the angles 90.00°, 90.00° and 120.00°. The asymmetric unit holds Cs at (0.0000, 0.0000, 0.0000), Ag at (0.0000, 0.3228, 0.5000), Ag at (0.0754, 0.1509, 0.3651) and Sb at (0.0583, 0.5291, 0.3430).

- What is the electronic total energy in the third record?
  -4.9562 eV per atom